Entry 1:
The following is a PBE-GGA calculation of a relaxed BaCu2Ir crystal, from Alexandria.

Calculated values
Its space group is Fm-3m (225). The value obtained for the energy above the lowest structure with this stoichiometry is 210 kJ/mol of formula units. Its total magnetization is 0.000 μB/f.u. The value obtained for the total DFT energy (no corrections) is -16.97 eV per formula unit.

Cell lengths 4.799, 4.799, 4.799 Å; angles 60.00, 60.00, 60.00 degrees
Fractional coordinates of all 4 atoms:
Ir 0.500 0.500 0.500
Ba 0.000 0.000 0.000
Cu 0.750 0.750 0.750
Cu 0.250 0.250 0.250


Entry 2:
The following is a PBE-GGA calculation of a relaxed BaCu2Ir crystal, from Alexandria.

Calculated values
Its space group is Pmmm (47). The value obtained for the energy above the lowest structure with this stoichiometry is 144 kJ/mol of formula units. Its total magnetization is 0.000 μB/f.u. The value obtained for the total DFT energy (no corrections) is -17.66 eV per formula unit.

Cell lengths 3.128, 3.634, 6.818 Å; angles 90.00, 90.00, 90.00 degrees
Fractional coordinates of all 4 atoms:
Cu 0.000 0.000 0.080
Cu 0.000 0.000 0.420
Ba 0.500 0.500 0.750
Ir 0.500 0.500 0.250


Entry 3:
The following is a PBE-GGA calculation of a relaxed BaCu2Ir2 crystal, from Alexandria.

Calculated values
Its space group is I4/mmm (139). Its total magnetization is 0.000 μB/f.u. The value obtained for the total DFT energy (no corrections) is -26.89 eV per formula unit.

Cell lengths 4.494, 4.494, 5.843 Å; angles 67.38, 67.38, 90.00 degrees
Fractional coordinates of all 5 atoms:
Ba 0.000 0.000 0.000
Ir 0.623 0.623 0.754
Ir 0.377 0.377 0.246
Cu 0.750 0.250 0.500
Cu 0.250 0.750 0.500


Entry 4:
The following is a PBE-GGA calculation of a relaxed BaCu2Ir crystal, from Alexandria.

Calculated values
Its space group is F-43m (216). The value obtained for the energy above the lowest structure with this stoichiometry is 275 kJ/mol of formula units. Its total magnetization is 0.000 μB/f.u. The value obtained for the total DFT energy (no corrections) is -16.30 eV per formula unit.

Cell lengths 4.852, 4.852, 4.852 Å; angles 60.00, 60.00, 60.00 degrees
Fractional coordinates of all 4 atoms:
Cu 0.250 0.250 0.250
Cu 0.000 0.000 0.000
Ba 0.500 0.500 0.500
Ir 0.750 0.750 0.750


Entry 5:
The following is a PBE-GGA calculation of a relaxed BaCu2Ir crystal, from Alexandria.

Calculated values
Its space group is I-4m2 (119). The value obtained for the energy above the lowest structure with this stoichiometry is 244 kJ/mol of formula units. Its total magnetization is 0.000 μB/f.u. The value obtained for the total DFT energy (no corrections) is -16.62 eV per formula unit.

Cell lengths 5.258, 5.258, 5.258 Å; angles 132.13, 132.13, 70.02 degrees
Fractional coordinates of all 4 atoms:
Ba 0.750 0.250 0.500
Cu 0.000 0.000 0.000
Cu 0.250 0.750 0.500
Ir 0.500 0.500 0.000


Entry 6:
The following is a PBE-GGA calculation of a relaxed Ba2CuIr crystal, from Alexandria.

Calculated values
Its space group is P4/mmm (123). The value obtained for the energy above the lowest structure with this stoichiometry is 159 kJ/mol of formula units. Its total magnetization is 0.196 μB/f.u. The value obtained for the total DFT energy (no corrections) is -15.74 eV per formula unit.

Cell lengths 4.600, 4.600, 6.343 Å; angles 90.00, 90.00, 90.00 degrees
Last column: magnetic moment on the atom in μB.
Fractional coordinates of all 4 atoms:
Ba 0.500 0.500 0.375  -0.01
Ba 0.000 0.000 0.875  -0.01
Ir 0.500 0.500 0.875  0.23
Cu 0.000 0.000 0.375  0.00


no.,DOS(E_F) (states/eV/cell),V (Å³/f.u.),energy of formation (eV/atom)
1,2.72,78.1,0.502
2,2.95,77.5,0.330
3,6.08,99.0,0.190
4,3.69,80.8,0.670
5,2.07,78.4,0.590
6,4.12,134.2,0.267